# 1
# PBE Th3Cu2Au, optimized geometry
data_Th3Cu2Au
_chemical_formula_sum 'Th18 Cu12 Au6'
_symmetry_space_group_name_H-M 'R -3 c'
_symmetry_Int_Tables_number 167
_symmetry_space_group_name_Hall '-R 3 2"c'
_cell_length_a 8.1311
_cell_length_b 8.1311
_cell_length_c 16.1748
_cell_angle_alpha 90.00
_cell_angle_beta 90.00
_cell_angle_gamma 120.00
loop_
_atom_site_label
_atom_site_type_symbol
_atom_site_fract_x
_atom_site_fract_y
_atom_site_fract_z
Th1 Th 0.0000 0.3234 0.2500
Cu1 Cu 0.0000 0.0000 0.1677
Au1 Au 0.0000 0.0000 0.0000
# total moment: 0.00 μB/cell
# formation energy: -0.591 eV per formula unit

---

# 2
# PBE Th2CuAu3, optimized geometry
data_Th2CuAu3
_chemical_formula_sum 'Th4 Cu2 Au6'
_symmetry_space_group_name_H-M 'I m m 2'
_symmetry_Int_Tables_number 44
_symmetry_space_group_name_Hall 'I 2 -2'
_cell_length_a 3.893
_cell_length_b 4.163
_cell_length_c 17.512
_cell_angle_alpha 90.00
_cell_angle_beta 90.00
_cell_angle_gamma 90.00
loop_
_atom_site_label
_atom_site_type_symbol
_atom_site_fract_x
_atom_site_fract_y
_atom_site_fract_z
Th1 Th 0.000 0.000 0.000
Th2 Th 0.000 0.500 0.234
Cu1 Cu 0.000 0.000 0.571
Au1 Au 0.000 0.000 0.424
Au2 Au 0.000 0.500 0.654
Au3 Au 0.000 0.500 0.813
# total moment: 0.00 μB/cell
# formation energy: -2.916 eV per formula unit